No. 1
Entry from Alexandria via LeMat-Bulk: crystalline Dy3SbS2 at its relaxed geometry (PBE).

Calculated values
uncorrected formation energy = -1.299 eV per atom
size of the total moment = 0.00 μB/atom
total energy = -5.663 eV per atom
crystal system = orthorhombic

a b c (Å): 8.680 7.775 7.775
angles (deg): 54.89 56.07 56.07
Sites, in units of the cell vectors:
Dy: 0.000 0.729 0.271
Dy: 0.000 0.271 0.729
Dy: 0.500 0.771 0.229
Dy: 0.500 0.000 0.500
Dy: 0.500 0.500 0.000
Dy: 0.500 0.229 0.771
Sb: 0.186 0.250 0.250
Sb: 0.814 0.750 0.750
S: 0.264 0.943 0.943
S: 0.350 0.443 0.443
S: 0.650 0.557 0.557
S: 0.736 0.057 0.057

=====

No. 2
Entry from Alexandria via LeMat-Bulk: crystalline CdTeRh2 at its relaxed geometry (PBE).

Calculated values
uncorrected formation energy = -0.025 eV per atom
size of the total moment = 0.00 μB/atom
total energy = -4.715 eV per atom
crystal system = trigonal

a b c (Å): 3.288 3.288 8.188
angles (deg): 78.36 78.36 59.99
Sites, in units of the cell vectors:
Cd: 0.500 0.500 0.500
Te: 0.667 0.667 0.000
Rh: 0.078 0.078 0.767
Rh: 0.256 0.256 0.232

=====

no.,energy above the lowest structure with this stoichiometry (eV per atom)
1,0.090
2,0.071